# 1
DFT (PBE) results for crystalline RbTaIn2 at its relaxed geometry.

- N(E_F): 0.685 states/eV per atom
- Density: 7.602 g cm⁻³
- Energy of formation: 0.925 eV per atom

Cell: 7.5678 7.5678 7.5678 Å, 90.00 90.00 90.00°
With the nearest neighbours (Å) after each atom.
Space group Fm-3m (No. 225)
One atom of each set of equivalent atoms:
Rb: 0.0000 0.0000 0.0000 (multiplicity 4)  8 In 3.28
Ta: 0.0000 0.0000 0.5000 (multiplicity 4)  8 In 3.28
In: 0.2500 0.2500 0.2500 (multiplicity 8)  4 Ta 3.28, 4 Rb 3.28

# 2
DFT (PBE) results for crystalline Rb2TaIn2 at its relaxed geometry.

- N(E_F): 0.617 states/eV per atom
- Density: 5.448 g cm⁻³
- Excess energy over the best structure of this formula in the dataset: 0.000 eV per atom
- Energy of formation: 1.110 eV per atom

Cell: 10.7710 10.7710 3.0557 Å, 90.00 90.00 90.00°
With the nearest neighbours (Å) after each atom.
Space group P4/mbm (No. 127)
One atom of each set of equivalent atoms:
Rb: 0.1918 0.3082 0.0000 (multiplicity 4)  2 Rb 3.06
Ta: 0.0000 0.0000 0.0000 (multiplicity 2)  2 Ta 3.06
In: 0.1031 0.6031 0.5000 (multiplicity 4)  3 In 3.06-3.14